Compound: CsB6I6
Source: Alexandria via LeMat-Bulk
Functional: GGA-PBE
Structure: optimized geometry

Structure (CIF):
```
data_CsB6I6
_cell_length_a 10.7379
_cell_length_b 10.7379
_cell_length_c 52.8320
_cell_angle_alpha 90.00
_cell_angle_beta 90.00
_cell_angle_gamma 120.00
_symmetry_space_group_name_H-M 'R -3'
_symmetry_Int_Tables_number 148
_symmetry_space_group_name_Hall '-R 3'
loop_
_atom_site_label
_atom_site_fract_x
_atom_site_fract_y
_atom_site_fract_z
Cs1 0.0000 0.0000 0.1262
Cs2 0.0000 0.0000 0.2926
B1 0.0229 0.9169 0.5257
B2 0.0290 0.1078 0.9744
B3 0.0373 0.8664 0.4939
B4 0.0467 0.1743 0.0061
I1 0.0280 0.2775 0.1812
I2 0.0418 0.7704 0.6519
I3 0.0514 0.8108 0.5586
I4 0.0635 0.2441 0.9414
```

The value obtained for the total magnetization is 0.000 μB/cell. As for the raw formation energy: -427 meV/atom. For the total DFT energy (no corrections), the calculation gives -55.764 eV per formula unit.